1.
Cs2ZnHg5 | PBE | relaxed

Output
symmetry = I4mm (107)
energy = -0.721 eV/atom
formation energy = -0.160 eV/atom
calculated density = 7181 kg/m³

Unit cell a=7.1244 b=7.1245 c=7.8946 alpha=63.18 beta=63.18 gamma=90.00
Positions (direct):
Cs1 0.2155 0.7155 0.5690
Cs2 0.7155 0.2155 0.5690
Zn1 0.0901 0.0901 0.8193
Hg1 0.7244 0.7244 0.0622
Hg2 0.7246 0.2135 0.0620
Hg3 0.2135 0.7246 0.0621
Hg4 0.2135 0.2135 0.0619
Hg5 0.3258 0.3258 0.3485

***

2.
DyHfTcRu | PBE | relaxed

Output
symmetry = F-43m (216)
energy = -8.858 eV/atom
formation energy = -0.308 eV/atom
calculated density = 12211 kg/m³

Unit cell a=4.7005 b=4.7005 c=4.7005 alpha=60.00 beta=60.00 gamma=60.00
Positions (direct):
Ru1 0.2500 0.2500 0.2500
Hf1 0.0000 0.0000 0.0000
Tc1 0.7500 0.7500 0.7500
Dy1 0.5000 0.5000 0.5000

***

3.
MgMoRh6 | PBE | relaxed

Output
symmetry = P4/mmm (123)
energy = -7.322 eV/atom
formation energy = -0.255 eV/atom
calculated density = 10526 kg/m³

Unit cell a=3.8755 b=3.8755 c=7.7480 alpha=90.00 beta=90.00 gamma=90.00
Positions (direct):
Mg1 0.0000 0.0000 0.0000
Mo1 0.0000 0.0000 0.5000
Rh1 0.5000 0.5000 0.0000
Rh2 0.5000 0.5000 0.5000
Rh3 0.5000 0.0000 0.2574
Rh4 0.5000 0.0000 0.7426
Rh5 0.0000 0.5000 0.2574
Rh6 0.0000 0.5000 0.7426

***

4.
AlGa2Cu | PBE | relaxed

Output
symmetry = I-42d (122)
energy = -3.411 eV/atom
formation energy = 0.062 eV/atom
calculated density = 5617 kg/m³

Unit cell a=3.9725 b=3.9725 c=9.0622 alpha=77.34 beta=77.34 gamma=90.00
Positions (direct):
Cu1 0.0000 0.0000 0.0000
Cu2 0.7500 0.2500 0.5000
Ga1 0.6421 0.1250 0.2500
Ga2 0.1079 0.6250 0.2500
Ga3 0.3750 0.3579 0.7500
Ga4 0.8750 0.8921 0.7500
Al1 0.5000 0.5000 0.0000
Al2 0.2500 0.7500 0.5000

***

5.
Sr2FeCo | PBE | relaxed

Output
symmetry = Amm2 (38)
energy = -4.376 eV/atom
formation energy = 0.357 eV/atom
calculated density = 4405 kg/m³
energy above the lowest structure with this stoichiometry = 159.4 meV per atom

Unit cell a=3.9576 b=4.6817 c=6.3486 alpha=68.34 beta=90.00 gamma=90.00
Positions (direct):
Co1 0.0000 0.6746 0.5257
Fe1 0.5000 0.5771 0.7210
Sr1 0.0000 0.9859 0.9032
Sr2 0.5000 0.2624 0.3501

***

6.
PtRh2Cl | PBE | relaxed

Output
formation energy without anion corrections = 766.9 meV/atom
symmetry = I-42d (122)
energy = -4.881 eV/atom
calculated density = 9381 kg/m³
energy above the lowest structure with this stoichiometry = 558.3 meV per atom

Unit cell a=4.6888 b=4.6888 c=7.7692 alpha=72.44 beta=72.44 gamma=90.00
Positions (direct):
Rh1 0.5688 0.1250 0.2500
Rh2 0.1812 0.6250 0.2500
Rh3 0.3750 0.4312 0.7500
Rh4 0.8750 0.8188 0.7500
Pt1 0.0000 0.0000 0.0000
Pt2 0.7500 0.2500 0.5000
Cl1 0.5000 0.5000 0.0000
Cl2 0.2500 0.7500 0.5000

***

7.
MnHg2I6 | PBE | relaxed

Output
formation energy without anion corrections = -301.0 meV/atom
symmetry = C2/c (15)
energy = -2.420 eV/atom
calculated density = 5579 kg/m³
energy above the lowest structure with this stoichiometry = 34.6 meV per atom

Unit cell a=7.7437 b=9.7961 c=9.7961 alpha=84.42 beta=81.51 gamma=81.51
Positions (direct):
Mn1 0.2500 0.1034 0.8966
Mn2 0.7500 0.8966 0.1034
Hg1 0.1686 0.5957 0.7738
Hg2 0.3314 0.2262 0.4043
Hg3 0.8314 0.4043 0.2262
Hg4 0.6686 0.7738 0.5957
I1 0.3479 0.7141 0.5244
I2 0.1521 0.4756 0.2859
I3 0.6521 0.2859 0.4756
I4 0.8479 0.5244 0.7141
I5 0.8746 0.8859 0.3588
I6 0.6254 0.6412 0.1141
I7 0.1254 0.1141 0.6412
I8 0.3746 0.3588 0.8859
I9 0.1043 0.8165 0.9672
I10 0.3957 0.0328 0.1835
I11 0.8957 0.1835 0.0328
I12 0.6043 0.9672 0.8165

***

8.
Tb6PrDy2Er | PBE | relaxed

Output
symmetry = C2/c (15)
energy = -4.514 eV/atom
formation energy = 0.118 eV/atom
calculated density = 8090 kg/m³

Unit cell a=9.5636 b=8.8023 c=8.8023 alpha=117.67 beta=93.62 gamma=93.62
Positions (direct):
Tb1 0.0564 0.1225 0.7502
Tb2 0.4436 0.2498 0.8775
Tb3 0.9436 0.8775 0.2498
Tb4 0.5564 0.7502 0.1225
Tb5 0.3165 0.9842 0.4353
Tb6 0.1835 0.5647 0.0158
Tb7 0.6835 0.0158 0.5647
Tb8 0.8165 0.4353 0.9842
Tb9 0.1187 0.7077 0.4906
Tb10 0.3813 0.5094 0.2923
Tb11 0.8813 0.2923 0.5094
Tb12 0.6187 0.4906 0.7077
Pr1 0.2500 0.9747 0.0253
Pr2 0.7500 0.0253 0.9747
Dy1 0.4536 0.7998 0.6958
Dy2 0.0464 0.3042 0.2002
Dy3 0.5464 0.2002 0.3042
Dy4 0.9536 0.6958 0.7998
Er1 0.2500 0.4096 0.5904
Er2 0.7500 0.5904 0.4096

***

9.
Th5Rh2 | PBE | relaxed

Output
symmetry = C2/c (15)
energy = -7.911 eV/atom
formation energy = -0.511 eV/atom
calculated density = 11521 kg/m³

Unit cell a=6.4140 b=7.1943 c=9.1746 alpha=96.47 beta=110.46 gamma=90.00
Positions (direct):
Th1 0.1852 0.4191 0.1927
Th2 0.9925 0.0809 0.8073
Th3 0.1773 0.6895 0.5655
Th4 0.6118 0.8105 0.4345
Th5 0.8227 0.3105 0.4345
Th6 0.3882 0.1895 0.5655
Th7 0.0075 0.9191 0.1927
Th8 0.8148 0.5809 0.8073
Th9 0.5964 0.2500 0.0000
Th10 0.4036 0.7500 0.0000
Rh1 0.2235 0.4127 0.7869
Rh2 0.4366 0.0873 0.2131
Rh3 0.7765 0.5873 0.2131
Rh4 0.5634 0.9127 0.7869

***

10.
SbMoPt2 | PBE | relaxed

Output
formation energy without anion corrections = -43.0 meV/atom
symmetry = P2/m (10)
energy = -6.802 eV/atom
calculated density = 14564 kg/m³

Unit cell a=4.0446 b=3.0476 c=6.4044 alpha=61.39 beta=90.00 gamma=90.00
Positions (direct):
Mo1 0.5000 0.7500 0.7500
Pt1 0.0000 0.0157 0.9840
Pt2 0.0000 0.4843 0.5160
Sb1 0.5000 0.2500 0.2500

***

11.
Pm7Tl2Rh2 | PBE | relaxed

Output
symmetry = Imm2 (44)
energy = -5.156 eV/atom
formation energy = -0.366 eV/atom
calculated density = 8398 kg/m³
energy above the lowest structure with this stoichiometry = 0.0 meV per atom

Unit cell a=3.9792 b=9.5832 c=9.5832 alpha=65.48 beta=78.02 gamma=78.02
Positions (direct):
Pm1 0.8292 0.0344 0.3072
Pm2 0.8795 0.4117 0.8293
Pm3 0.5000 0.0134 0.9866
Pm4 0.6012 0.5018 0.2957
Pm5 0.3988 0.7043 0.4982
Pm6 0.1708 0.6928 0.9656
Pm7 0.1205 0.1707 0.5883
Tl1 0.7293 0.8581 0.6833
Tl2 0.2707 0.3167 0.1419
Rh1 0.0000 0.7942 0.2058
Rh2 0.5000 0.3557 0.6443

***

12.
TaPbCl2 | PBE | relaxed

Output
formation energy without anion corrections = 525.4 meV/atom
symmetry = I4/mmm (139)
energy = -4.288 eV/atom
calculated density = 8644 kg/m³
energy above the lowest structure with this stoichiometry = 1013.5 meV per atom

Unit cell a=5.4858 b=5.4858 c=5.4858 alpha=132.45 beta=132.45 gamma=69.53
Positions (direct):
Pb1 0.7500 0.2500 0.5000
Cl1 0.0000 0.0000 0.0000
Cl2 0.5000 0.5000 0.0000
Ta1 0.2500 0.7500 0.5000